P.
Compound: LiCa2NiH
Source: Alexandria via LeMat-Bulk
Functional: PBE
Structure: relaxed

a b c (Å): 4.8612 4.8612 3.8549
angles (deg): 90.00 90.00 90.00
Sites, in units of the cell vectors:
Li1 0.0000 0.0000 0.0000
Ca1 0.0000 0.5000 0.5000
Ca2 0.5000 0.0000 0.5000
Ni1 0.5000 0.5000 0.0000
H1 0.0000 0.0000 0.5000

Calculated values
Its space-group type is P4/mmm, No. 123.

---

Q.
Compound: LiCa2NiH
Source: Alexandria via LeMat-Bulk
Functional: PBE
Structure: relaxed

a b c (Å): 5.1658 5.1658 3.5596
angles (deg): 90.00 90.00 90.00
Sites, in units of the cell vectors:
Li1 0.0000 0.0000 0.0000
Ca1 0.0000 0.5000 0.5000
Ca2 0.5000 0.0000 0.5000
Ni1 0.5000 0.5000 0.0000
H1 0.5000 0.5000 0.5000

Calculated values
Its space-group type is P4/mmm, No. 123.

---

Least stable structure among those shown: Q.